First-principles (PBE-GGA) data for a relaxed Eu2MgSn crystal, as listed in the Alexandria database.

Values from the calculation:
As for the space group: P4/mmm. As for the calculated formation energy: -0.42 eV per atom.

Lattice parameters (Å, degrees): 4.444 5.222 5.222 90.00 90.00 90.00
Each line ends with the local moment (μB).
Atoms (fractional coordinates):
Sn1 0.500 0.000 0.000  -0.06
Mg1 0.500 0.500 0.500  0.00
Eu1 0.000 0.500 0.000  6.84
Eu2 0.000 0.000 0.500  6.84


First-principles (PBE-GGA) data for a relaxed Ce4PuTl2 crystal, as listed in the Alexandria database.

Values from the calculation:
As for the space group: P-1. As for the calculated formation energy: -0.08 eV per atom.

Lattice parameters (Å, degrees): 6.257 9.585 5.852 87.56 97.41 146.43
Each line ends with the local moment (μB).
Atoms (fractional coordinates):
Ce1 0.811 0.142 0.758  -0.54
Ce2 0.183 0.257 0.398  -0.12
Ce3 0.189 0.858 0.242  -0.54
Ce4 0.817 0.743 0.602  -0.12
Pu1 0.000 0.500 0.500  -5.45
Tl1 0.471 0.697 0.060  0.01
Tl2 0.529 0.303 0.940  0.01


First-principles (PBE-GGA) data for a relaxed RbNa12Bi6 crystal, as listed in the Alexandria database.

Values from the calculation:
As for the space group: R-3m. As for the calculated formation energy: -0.22 eV per atom.

Lattice parameters (Å, degrees): 9.111 9.111 9.111 103.16 103.16 103.16
Atoms (fractional coordinates):
Bi1 0.705 0.254 0.254
Bi2 0.746 0.295 0.746
Bi3 0.254 0.705 0.254
Bi4 0.746 0.746 0.295
Bi5 0.254 0.254 0.705
Bi6 0.295 0.746 0.746
Na1 0.115 0.500 0.885
Na2 0.157 0.442 0.442
Na3 0.115 0.885 0.500
Na4 0.500 0.885 0.115
Na5 0.442 0.442 0.157
Na6 0.442 0.157 0.442
Na7 0.558 0.558 0.843
Na8 0.885 0.115 0.500
Na9 0.500 0.115 0.885
Na10 0.843 0.558 0.558
Na11 0.558 0.843 0.558
Na12 0.885 0.500 0.115
Rb1 0.000 0.000 0.000


First-principles (PBE-GGA) data for a relaxed Rb3PrHo2S6 crystal, as listed in the Alexandria database.

Values from the calculation:
The uncorrected formation energy is -1.8376 eV per atom. As for the space group: C2/m.

Lattice parameters (Å, degrees): 7.149 7.149 8.063 98.50 98.50 120.00
Atoms (fractional coordinates):
S1 0.280 0.280 0.807
S2 0.720 0.720 0.193
S3 0.409 0.065 0.193
S4 0.935 0.591 0.807
S5 0.065 0.409 0.193
S6 0.591 0.935 0.807
Pr1 0.000 0.000 0.000
Ho1 0.333 0.667 0.000
Ho2 0.667 0.333 0.000
Rb1 0.835 0.165 0.500
Rb2 0.500 0.500 0.500
Rb3 0.165 0.835 0.500


First-principles (PBE-GGA) data for a relaxed PrDyTm14 crystal, as listed in the Alexandria database.

Values from the calculation:
As for the space group: Amm2. As for the calculated formation energy: 0.01 eV per atom.

Lattice parameters (Å, degrees): 7.047 7.047 11.320 90.00 90.00 119.94
Atoms (fractional coordinates):
Dy1 0.208 0.792 0.500
Tm1 0.374 0.125 0.247
Tm2 0.542 0.958 0.000
Tm3 0.375 0.625 0.249
Tm4 0.208 0.292 0.500
Tm5 0.375 0.625 0.751
Tm6 0.875 0.125 0.247
Tm7 0.875 0.626 0.753
Tm8 0.875 0.125 0.753
Tm9 0.374 0.125 0.753
Tm10 0.708 0.792 0.500
Tm11 0.542 0.458 0.000
Tm12 0.042 0.958 0.000
Tm13 0.875 0.626 0.247
Tm14 0.042 0.458 0.000
Pr1 0.708 0.292 0.500


First-principles (PBE-GGA) data for a relaxed BaNd2Si crystal, as listed in the Alexandria database.

Values from the calculation:
The uncorrected formation energy is -0.1121 eV per atom. As for the space group: R-3m.

Lattice parameters (Å, degrees): 4.136 4.136 11.283 79.44 79.44 60.00
Atoms (fractional coordinates):
Nd1 0.883 0.883 0.350
Nd2 0.117 0.117 0.650
Si1 0.500 0.500 0.500
Ba1 0.000 0.000 0.000


First-principles (PBE-GGA) data for a relaxed TcHg2Ru crystal, as listed in the Alexandria database.

Values from the calculation:
As for the space group: R3m. As for the calculated formation energy: 0.34 eV per atom.

Lattice parameters (Å, degrees): 10.225 10.225 10.225 16.30 16.30 16.30
Atoms (fractional coordinates):
Ru1 0.490 0.490 0.490
Hg1 0.240 0.240 0.240
Hg2 0.009 0.009 0.009
Tc1 0.760 0.760 0.760


First-principles (PBE-GGA) data for a relaxed Sm3NpP4 crystal, as listed in the Alexandria database.

Values from the calculation:
As for the space group: P2/c. As for the calculated formation energy: -1.39 eV per atom.

Lattice parameters (Å, degrees): 7.036 7.046 8.129 90.00 90.00 109.52
Each line ends with the local moment (μB).
Atoms (fractional coordinates):
P1 0.501 0.239 0.881  -0.07
P2 0.999 0.761 0.881  -0.07
P3 0.007 0.754 0.369  -0.04
P4 0.001 0.239 0.119  -0.07
P5 0.499 0.761 0.119  -0.07
P6 0.993 0.246 0.631  -0.04
P7 0.493 0.246 0.369  -0.04
P8 0.507 0.754 0.631  -0.04
Sm1 0.750 0.500 0.126  0.02
Sm2 0.750 0.000 0.376  0.02
Sm3 0.750 0.500 0.624  0.02
Sm4 0.250 0.500 0.376  0.02
Sm5 0.250 0.000 0.624  0.02
Sm6 0.250 0.500 0.874  0.02
Np1 0.250 0.000 0.125  3.47
Np2 0.750 0.000 0.875  3.47


First-principles (PBE-GGA) data for a relaxed HfHIrOs2 crystal, as listed in the Alexandria database.

Values from the calculation:
The uncorrected energy comes out at -45.8 eV/cell. As for the space group: P4/mmm.

Lattice parameters (Å, degrees): 3.997 3.997 4.047 90.00 90.00 90.00
Atoms (fractional coordinates):
H1 0.000 0.000 0.000
Hf1 0.500 0.500 0.500
Os1 0.500 0.000 0.000
Os2 0.000 0.500 0.000
Ir1 0.000 0.000 0.500


First-principles (PBE-GGA) data for a relaxed Tb2PrPb2 crystal, as listed in the Alexandria database.

Values from the calculation:
As for the space group: C2/m. As for the calculated formation energy: -0.32 eV per atom.

Lattice parameters (Å, degrees): 4.669 4.669 7.949 106.85 106.85 90.06
Atoms (fractional coordinates):
Pb1 0.396 0.396 0.797
Pb2 0.604 0.604 0.203
Tb1 0.250 0.750 0.500
Tb2 0.750 0.250 0.500
Pr1 0.000 0.000 0.000


First-principles (PBE-GGA) data for a relaxed TmMg5 crystal, as listed in the Alexandria database.

Values from the calculation:
As for the space group: P-6m2. As for the calculated formation energy: 0.01 eV per atom.

Lattice parameters (Å, degrees): 3.238 3.238 16.102 90.00 90.00 120.00
Atoms (fractional coordinates):
Mg1 0.000 0.000 0.675
Mg2 0.667 0.333 0.163
Mg3 0.000 0.000 0.325
Mg4 0.000 0.000 0.000
Mg5 0.667 0.333 0.837
Tm1 0.667 0.333 0.500


First-principles (PBE-GGA) data for a relaxed YZn3Fe crystal, as listed in the Alexandria database.

Values from the calculation:
As for the space group: Pm-3m. As for the calculated formation energy: 1.41 eV per atom.

Lattice parameters (Å, degrees): 5.390 5.390 5.390 90.00 90.00 90.00
Each line ends with the local moment (μB).
Atoms (fractional coordinates):
Zn1 0.000 0.000 0.500  -0.02
Zn2 0.500 0.000 0.000  -0.02
Zn3 0.000 0.500 0.000  -0.03
Y1 0.000 0.000 0.000  -0.15
Fe1 0.500 0.500 0.500  3.31